[1]
VASP calculation (PBE-GGA) on an optimized crystal structure of Ca3YCd.

Energy above the most stable polymorph in this dataset (eV per atom): 0.000
Volume (Å³ per cell): 202

Unit cell a=5.8679 b=5.8679 c=5.8679 alpha=90.00 beta=90.00 gamma=90.00
With the nearest neighbours (Å) after each atom.
Fractional coordinates of all 5 atoms:
1 Ca 0.0000 0.5000 0.0000  2 Cd 2.93
2 Y 0.5000 0.5000 0.5000  12 Ca 4.15
3 Ca 0.5000 0.0000 0.0000  2 Cd 2.93
4 Ca 0.0000 0.0000 0.5000  2 Cd 2.93
5 Cd 0.0000 0.0000 0.0000  6 Ca 2.93

[2]
VASP calculation (PBE-GGA) on an optimized crystal structure of Ca4YCd.

Volume (Å³ per cell): 225

Unit cell a=6.8281 b=6.8281 c=6.8281 alpha=60.00 beta=60.00 gamma=60.00
With the nearest neighbours (Å) after each atom.
Fractional coordinates of all 6 atoms:
1 Ca 0.3747 0.3747 0.3747  6 Ca 3.41-3.42
2 Y 0.0000 0.0000 0.0000  12 Ca 4.00, 4 Cd 4.18
3 Ca 0.3747 0.3747 0.8760  6 Ca 3.41-3.42
4 Cd 0.7500 0.7500 0.7500  12 Ca 4.00, 4 Y 4.18
5 Ca 0.3747 0.8760 0.3747  6 Ca 3.41-3.42
6 Ca 0.8760 0.3747 0.3747  6 Ca 3.41-3.42

[3]
VASP calculation (PBE-GGA) on an optimized crystal structure of CaY2Cd3.

Volume (Å³ per cell): 162

Unit cell a=3.7617 b=3.7617 c=11.4338 alpha=90.00 beta=90.00 gamma=90.00
With the nearest neighbours (Å) after each atom.
Fractional coordinates of all 6 atoms:
1 Y 0.5000 0.5000 0.8369  8 Cd 3.23-3.25
2 Cd 0.0000 0.0000 0.3240  4 Y 3.23, 4 Ca 3.34
3 Y 0.5000 0.5000 0.1631  8 Cd 3.23-3.25
4 Cd 0.0000 0.0000 0.0000  8 Y 3.25
5 Ca 0.5000 0.5000 0.5000  8 Cd 3.34
6 Cd 0.0000 0.0000 0.6760  4 Y 3.23, 4 Ca 3.34

[4]
VASP calculation (PBE-GGA) on an optimized crystal structure of Ca2YCd2.

Energy above the most stable polymorph in this dataset (eV per atom): 0.000
Volume (Å³ per cell): 155

Unit cell a=3.6908 b=3.7963 c=11.1938 alpha=80.24 beta=90.00 gamma=90.00
With the nearest neighbours (Å) after each atom.
Fractional coordinates of all 5 atoms:
1 Ca 0.0000 0.8264 0.3471  4 Cd 3.29
2 Y 0.0000 0.0000 0.0000  8 Cd 3.24
3 Cd 0.5000 0.5847 0.8307  4 Y 3.24, 4 Ca 3.29
4 Cd 0.5000 0.4153 0.1693  4 Y 3.24, 4 Ca 3.29
5 Ca 0.0000 0.1736 0.6529  4 Cd 3.29

[5]
VASP calculation (PBE-GGA) on an optimized crystal structure of CaYCd4.

Energy above the most stable polymorph in this dataset (eV per atom): 0.000
Volume (Å³ per cell): 152

Unit cell a=3.5310 b=6.1084 c=8.6568 alpha=90.00 beta=90.00 gamma=125.47
With the nearest neighbours (Å) after each atom.
Fractional coordinates of all 6 atoms:
1 Cd 0.0013 0.4972 0.6628  3 Cd 2.85-2.88
2 Y 0.0013 0.9973 0.4981  12 Cd 3.36-3.37, 2 Y 3.53
3 Ca 0.5011 0.4974 0.9981  12 Cd 3.38-3.40, 2 Ca 3.53
4 Cd 0.5011 0.9973 0.8300  3 Cd 2.88-2.91
5 Cd 0.0019 0.4973 0.3333  3 Cd 2.85-2.88
6 Cd 0.5009 0.9973 0.1664  3 Cd 2.88-2.91

[6]
VASP calculation (PBE-GGA) on an optimized crystal structure of CaY2Cd.

Volume (Å³ per cell): 120

Unit cell a=6.0674 b=6.0674 c=6.0674 alpha=132.28 beta=132.28 gamma=69.79
With the nearest neighbours (Å) after each atom.
Fractional coordinates of all 4 atoms:
1 Y 0.0000 0.0000 0.0000  4 Ca 3.47, 4 Cd 3.49, 4 Y 3.49
2 Ca 0.5000 0.5000 0.0000  8 Y 3.47-3.49, 4 Cd 3.49
3 Y 0.2500 0.7500 0.5000  4 Cd 3.47, 4 Y 3.49, 4 Ca 3.49
4 Cd 0.7500 0.2500 0.5000  8 Y 3.47-3.49, 4 Ca 3.49

[7]
VASP calculation (PBE-GGA) on an optimized crystal structure of CaY2Cd.

Volume (Å³ per cell): 126

Unit cell a=5.2611 b=3.6937 c=6.7783 alpha=73.12 beta=90.00 gamma=90.00
With the nearest neighbours (Å) after each atom.
Fractional coordinates of all 4 atoms:
1 Cd 0.5000 0.7500 0.7500  4 Y 3.18, 2 Ca 3.36
2 Y 0.0000 0.9169 0.9727  2 Cd 3.18, 1 Y 3.29
3 Y 0.0000 0.5831 0.5273  2 Cd 3.18, 1 Y 3.29
4 Ca 0.5000 0.2500 0.2500  2 Cd 3.36, 8 Y 3.65-3.72, 2 Ca 3.69

[8]
VASP calculation (PBE-GGA) on an optimized crystal structure of CaY2Cd.

Volume (Å³ per cell): 123

Unit cell a=6.6736 b=6.6736 c=6.6736 alpha=146.20 beta=131.30 gamma=60.60
With the nearest neighbours (Å) after each atom.
Fractional coordinates of all 4 atoms:
1 Ca 0.4696 0.4696 0.0000  2 Cd 3.21, 4 Y 3.44
2 Y 0.0308 0.0308 0.0000  2 Cd 3.16, 4 Ca 3.44
3 Y 0.7521 0.2521 0.5000  4 Cd 3.37, 2 Ca 3.72, 4 Y 3.75
4 Cd 0.2475 0.7475 0.5000  6 Y 3.16-3.37, 2 Ca 3.21

[9]
VASP calculation (PBE-GGA) on an optimized crystal structure of Ca3YCd4.

Volume (Å³ per cell): 222

Unit cell a=3.8097 b=3.8097 c=15.2681 alpha=90.00 beta=90.00 gamma=90.00
With the nearest neighbours (Å) after each atom.
Fractional coordinates of all 8 atoms:
1 Ca 0.5000 0.5000 0.7529  8 Cd 3.32-3.34
2 Cd 0.0000 0.0000 0.6262  8 Ca 3.31-3.32
3 Cd 0.0000 0.0000 0.1180  4 Y 3.24, 4 Ca 3.34, 1 Cd 3.60
4 Ca 0.5000 0.5000 0.5000  8 Cd 3.31
5 Cd 0.0000 0.0000 0.8820  4 Y 3.24, 4 Ca 3.34, 1 Cd 3.60
6 Cd 0.0000 0.0000 0.3738  8 Ca 3.31-3.32
7 Y 0.5000 0.5000 0.0000  8 Cd 3.24
8 Ca 0.5000 0.5000 0.2471  8 Cd 3.32-3.34

[10]
VASP calculation (PBE-GGA) on an optimized crystal structure of CaYZnCd.

Energy above the most stable polymorph in this dataset (eV per atom): 0.000
Volume (Å³ per cell): 102

Unit cell a=3.7083 b=3.7083 c=7.4342 alpha=90.00 beta=90.00 gamma=90.00
With the nearest neighbours (Å) after each atom.
Fractional coordinates of all 4 atoms:
1 Cd 0.5000 0.5000 0.0942  4 Y 3.23, 4 Ca 3.32, 1 Zn 3.49
2 Ca 0.0000 0.0000 0.3690  4 Zn 3.24, 4 Cd 3.32, 1 Y 3.50
3 Y 0.0000 0.0000 0.8401  4 Zn 3.07, 4 Cd 3.23
4 Zn 0.5000 0.5000 0.6247  4 Y 3.07, 4 Ca 3.24

[11]
VASP calculation (PBE-GGA) on an optimized crystal structure of CaYZnCd.

Energy above the most stable polymorph in this dataset (eV per atom): 0.018
Volume (Å³ per cell): 102

Unit cell a=5.2391 b=5.2391 c=5.2391 alpha=60.00 beta=60.00 gamma=60.00
With the nearest neighbours (Å) after each atom.
Fractional coordinates of all 4 atoms:
1 Y 0.7500 0.7500 0.7500  4 Zn 3.21, 4 Cd 3.21
2 Ca 0.2500 0.2500 0.2500  4 Cd 3.21, 4 Zn 3.21
3 Cd 0.5000 0.5000 0.5000  4 Y 3.21, 4 Ca 3.21
4 Zn 0.0000 0.0000 0.0000  4 Ca 3.21, 4 Y 3.21

[12]
VASP calculation (PBE-GGA) on an optimized crystal structure of CaYbCd2.

Volume (Å³ per cell): 111

Unit cell a=5.3984 b=5.3984 c=5.3984 alpha=60.00 beta=60.00 gamma=60.00
With the nearest neighbours (Å) after each atom.
Fractional coordinates of all 4 atoms:
1 Cd 0.5000 0.5000 0.5000  4 Ca 3.31, 4 Yb 3.31
2 Ca 0.2500 0.2500 0.2500  8 Cd 3.31
3 Cd 0.0000 0.0000 0.0000  4 Yb 3.31, 4 Ca 3.31
4 Yb 0.7500 0.7500 0.7500  8 Cd 3.31

[13]
VASP calculation (PBE-GGA) on an optimized crystal structure of Ca5Zn2Cd12.

Volume (Å³ per cell): 477

Unit cell a=7.6000 b=7.8445 c=8.9068 alpha=63.87 beta=88.84 gamma=90.00
With the nearest neighbours (Å) after each atom.
Fractional coordinates of all 19 atoms:
1 Zn 0.0000 0.3174 0.0000  1 Zn 2.86, 8 Cd 2.92-3.16
2 Cd 0.3152 0.4504 0.0993  7 Cd 2.91-3.26, 2 Zn 2.92
3 Ca 0.0257 0.7007 0.5986  8 Cd 3.18-3.50, 2 Zn 3.52
4 Cd 0.9072 0.9106 0.1788  2 Zn 2.95, 5 Cd 3.01-3.16
5 Cd 0.3351 0.8114 0.7746  5 Cd 3.01-3.34, 1 Zn 3.09, 4 Ca 3.18-3.25
6 Cd 0.6848 0.5496 0.9007  7 Cd 2.91-3.26, 2 Zn 2.92
7 Ca 0.5625 0.7557 0.4886  10 Cd 3.24-3.56
8 Zn 0.0000 0.6826 0.0000  1 Zn 2.86, 8 Cd 2.92-3.16
9 Cd 0.7557 0.3340 0.7110  3 Cd 2.91-3.11, 1 Zn 3.16
10 Cd 0.6649 0.5860 0.2254  5 Cd 3.01-3.34, 1 Zn 3.09, 4 Ca 3.18-3.25
11 Cd 0.7557 0.9550 0.7110  3 Cd 2.91-3.11, 1 Zn 3.16
12 Cd 0.0928 0.0894 0.8212  2 Zn 2.95, 5 Cd 3.01-3.16
13 Ca 0.5000 0.0000 0.0000  10 Cd 3.24-3.44
14 Cd 0.2443 0.0450 0.2890  3 Cd 2.91-3.11, 1 Zn 3.16
15 Ca 0.9743 0.2993 0.4014  8 Cd 3.18-3.50, 2 Zn 3.52
16 Cd 0.6649 0.1886 0.2254  5 Cd 3.01-3.34, 1 Zn 3.09, 4 Ca 3.18-3.25
17 Ca 0.4375 0.2443 0.5114  10 Cd 3.24-3.56
18 Cd 0.2443 0.6660 0.2890  3 Cd 2.91-3.11, 1 Zn 3.16
19 Cd 0.3351 0.4140 0.7746  5 Cd 3.01-3.34, 1 Zn 3.09, 4 Ca 3.18-3.25

no.,final energy (eV/atom),formation energy from the elements (meV per atom)
1,-2.437,240.1
2,-2.254,310.7
3,-3.307,-361.5
4,-2.700,-240.3
5,-2.357,-336.1
6,-3.972,-11.0
7,-3.986,-24.4
8,-4.036,-74.3
9,-2.372,-355.5
10,-2.993,-329.6
11,-2.975,-311.6
12,-1.714,-374.6
13,-1.443,-203.9